Entry from the Alexandria database: a relaxed Li2TaFe crystal (PBE).

## Properties
* calculated formation energy: 0.95 eV/f.u.
* relative energy among the computed polymorphs: 179 meV/atom

Unit cell a=3.0737 b=3.0737 c=6.8859 alpha=90.00 beta=90.00 gamma=90.00
Space group P4mm (No. 99)
Symmetry-distinct sites (fractional):
1 Li 0.0000 0.0000 0.0000 x1
2 Li 0.5000 0.5000 0.2695 x1
3 Ta 0.0000 0.0000 0.5863 x1
4 Fe 0.5000 0.5000 0.7535 x1


Entry from the Alexandria database: a relaxed BaTeN3 crystal (PBE).

## Properties
* E_form (uncorrected): 0.6381 eV/atom

Unit cell a=4.1728 b=4.1728 c=4.1728 alpha=90.00 beta=90.00 gamma=90.00
Space group Pm-3m (No. 221)
Symmetry-distinct sites (fractional):
1 Ba 0.0000 0.0000 0.0000 x1
2 Te 0.5000 0.5000 0.5000 x1
3 N 0.0000 0.5000 0.5000 x3


Entry from the Alexandria database: a relaxed TaBe2TePd crystal (PBE).

## Properties
* E_form (uncorrected): 1.5035 eV/atom

Unit cell a=4.4432 b=4.4432 c=5.1119 alpha=90.00 beta=90.00 gamma=90.00
Space group P4/mmm (No. 123)
Symmetry-distinct sites (fractional):
1 Ta 0.0000 0.0000 0.0000 x1
2 Be 0.0000 0.5000 0.5000 x2
3 Te 0.0000 0.0000 0.5000 x1
4 Pd 0.5000 0.5000 0.0000 x1


Entry from the Alexandria database: a relaxed Ce8InPd24 crystal (PBE).

## Properties
* calculated formation energy: -25.62 eV/f.u.

Unit cell a=8.4920 b=8.4920 c=8.4920 alpha=90.00 beta=90.00 gamma=90.00
Space group Pm-3m (No. 221)
Symmetry-distinct sites (fractional):
1 Ce 0.2483 0.2483 0.2483 x8
2 In 0.0000 0.0000 0.0000 x1
3 Pd 0.0000 0.0000 0.3165 x6
4 Pd 0.0000 0.2681 0.5000 x12
5 Pd 0.2558 0.5000 0.5000 x6


Entry from the Alexandria database: a relaxed BaPmSb2Pd5 crystal (PBE).

## Properties
* E_form (uncorrected): -0.5442 eV/atom

Unit cell a=5.0187 b=5.0187 c=9.4168 alpha=90.00 beta=90.00 gamma=90.00
Space group P4/mmm (No. 123)
Symmetry-distinct sites (fractional):
1 Ba 0.0000 0.0000 0.0000 x1
2 Pm 0.0000 0.0000 0.5000 x1
3 Sb 0.5000 0.5000 0.2723 x2
4 Pd 0.0000 0.5000 0.3376 x4
5 Pd 0.5000 0.5000 0.0000 x1


Entry from the Alexandria database: a relaxed BaTeO2 crystal (PBE).

## Properties
* E_form (uncorrected): -0.7472 eV/atom
* relative energy among the computed polymorphs: 801 meV/atom

Unit cell a=6.6991 b=6.6991 c=6.6991 alpha=90.00 beta=90.00 gamma=90.00
Space group Fm-3m (No. 225)
Symmetry-distinct sites (fractional):
1 Ba 0.0000 0.0000 0.0000 x4
2 Te 0.0000 0.0000 0.5000 x4
3 O 0.2500 0.2500 0.2500 x8


Entry from the Alexandria database: a relaxed CeZn2In crystal (PBE).

## Properties
* calculated formation energy: -0.73 eV/f.u.

Unit cell a=4.6386 b=4.6386 c=4.1656 alpha=90.00 beta=90.00 gamma=90.00
Space group P4/mmm (No. 123)
Symmetry-distinct sites (fractional):
1 Ce 0.0000 0.0000 0.0000 x1
2 Zn 0.0000 0.5000 0.5000 x2
3 In 0.5000 0.5000 0.0000 x1


Entry from the Alexandria database: a relaxed Sc3Al2Ag crystal (PBE).

## Properties
* calculated formation energy: -2.34 eV/f.u.

Unit cell a=3.2389 b=3.2389 c=11.2860 alpha=90.00 beta=90.00 gamma=90.00
Space group P4/mmm (No. 123)
Symmetry-distinct sites (fractional):
1 Sc 0.0000 0.0000 0.0000 x1
2 Sc 0.0000 0.0000 0.3311 x2
3 Al 0.5000 0.5000 0.1676 x2
4 Ag 0.5000 0.5000 0.5000 x1


Entry from the Alexandria database: a relaxed DyZrZnIr crystal (PBE).

## Properties
* calculated formation energy: -2.08 eV/f.u.

Unit cell a=6.8055 b=6.8055 c=6.8055 alpha=90.00 beta=90.00 gamma=90.00
Space group F-43m (No. 216)
Symmetry-distinct sites (fractional):
1 Dy 0.0000 0.0000 0.0000 x4
2 Zr 0.0000 0.0000 0.5000 x4
3 Zn 0.2500 0.2500 0.7500 x4
4 Ir 0.2500 0.2500 0.2500 x4


Entry from the Alexandria database: a relaxed Ta2AgMo crystal (PBE).

## Properties
* calculated formation energy: 1.17 eV/f.u.
* relative energy among the computed polymorphs: 199 meV/atom

Unit cell a=3.4000 b=4.5495 c=9.0650 alpha=90.00 beta=90.00 gamma=90.00
Space group Imm2 (No. 44)
Symmetry-distinct sites (fractional):
1 Ta 0.0000 0.0000 0.0000 x2
2 Ta 0.0000 0.5000 0.2466 x2
3 Ag 0.0000 0.5000 0.7609 x2
4 Mo 0.0000 0.0000 0.5185 x2


Entry from the Alexandria database: a relaxed Ho2SiO5 crystal (PBE).

## Properties
* E_form (uncorrected): -3.3139 eV/atom
* relative energy among the computed polymorphs: 53 meV/atom

Unit cell a=10.1421 b=3.6574 c=10.7813 alpha=90.00 beta=90.00 gamma=90.00
Space group Pnma (No. 62)
Symmetry-distinct sites (fractional):
1 Ho 0.1013 0.2500 0.2159 x4
2 Ho 0.1395 0.2500 0.5518 x4
3 Si 0.1818 0.2500 0.8721 x4
4 O 0.0098 0.7500 0.6054 x4
5 O 0.0231 0.2500 0.8434 x4
6 O 0.2220 0.2500 0.0255 x4
7 O 0.2255 0.7500 0.8746 x4
8 O 0.2352 0.7500 0.2332 x4


Entry from the Alexandria database: a relaxed Dy6Ho4Mg crystal (PBE).

## Properties
* calculated formation energy: 3.10 eV/f.u.

Unit cell a=6.4573 b=6.4573 c=16.9616 alpha=90.00 beta=90.00 gamma=90.00
Space group I-42m (No. 121)
Symmetry-distinct sites (fractional):
1 Dy 0.0000 0.5000 0.0000 x4
2 Dy 0.1834 0.1834 0.1708 x8
3 Ho 0.1753 0.1753 0.3665 x8
4 Mg 0.0000 0.0000 0.0000 x2